(1)
The following is a DFT calculation (PBE-GGA) of a relaxed structure of SrGeP2O8.

energy above the lowest structure with this stoichiometry	0	meV per atom
SG	No. 15
M_tot	0.00	μB per cell
Fermi-level density of states	0.00	states/eV/cell
energy	-7.06	eV/atom
formation energy without anion corrections	-2697	kJ/mol of formula units

Cell lengths 8.6719, 8.6719, 8.0339 Å; angles 114.66, 114.66, 34.35 degrees
Atoms (fractional coordinates):
Sr: 0.1894 0.8106 0.7500
Sr: 0.8106 0.1894 0.2500
Ge: 0.0000 0.5000 0.5000
Ge: 0.5000 0.0000 0.0000
P: 0.1129 0.5929 0.2406
P: 0.4071 0.8871 0.2594
P: 0.5929 0.1129 0.7406
P: 0.8871 0.4071 0.7594
O: 0.0436 0.5091 0.2991
O: 0.1337 0.1970 0.9024
O: 0.1714 0.7235 0.3929
O: 0.1970 0.1337 0.4024
O: 0.2765 0.8286 0.1071
O: 0.3255 0.3755 0.6385
O: 0.3755 0.3255 0.1385
O: 0.4909 0.9564 0.2009
O: 0.5091 0.0436 0.7991
O: 0.6245 0.6745 0.8615
O: 0.6745 0.6245 0.3615
O: 0.7235 0.1714 0.8929
O: 0.8030 0.8663 0.5976
O: 0.8286 0.2765 0.6071
O: 0.8663 0.8030 0.0976
O: 0.9564 0.4909 0.7009


(2)
The following is a DFT calculation (PBE-GGA) of a relaxed structure of NaDySn2.

SG	No. 123
M_tot	0.00	μB per cell
Fermi-level density of states	3.30	states/eV/cell
energy of formation from the pure elements	-1.60	eV/f.u.
energy	-3.88	eV/atom

Cell lengths 3.4016, 3.4016, 9.3547 Å; angles 90.00, 90.00, 90.00 degrees
Atoms (fractional coordinates):
Na: 0.0000 0.0000 0.0000
Dy: 0.0000 0.0000 0.5000
Sn: 0.5000 0.5000 0.2594
Sn: 0.5000 0.5000 0.7406


(3)
The following is a DFT calculation (PBE-GGA) of a relaxed structure of Pu3PaSe4.

energy above the lowest structure with this stoichiometry	8	meV per atom
SG	No. 10
M_tot	18.38	μB per cell
Fermi-level density of states	29.94	states/eV/cell
energy	-9.73	eV/atom
formation energy without anion corrections	-1100	kJ/mol of formula units

Cell lengths 7.1547, 4.0936, 7.1662 Å; angles 90.00, 109.07, 90.00 degrees
Atoms (fractional coordinates):
Pu: 0.0000 0.0000 0.0000
Pu: 0.0000 0.5000 0.5000
Pu: 0.5000 0.0000 0.5000
Pa: 0.5000 0.5000 0.0000
Se: 0.2497 0.0000 0.7496
Se: 0.2504 0.5000 0.2497
Se: 0.7503 0.0000 0.2504
Se: 0.7496 0.5000 0.7503


(4)
The following is a DFT calculation (PBE-GGA) of a relaxed structure of In12Bi2Pb7.

SG	No. 6
M_tot	0.00	μB per cell
Fermi-level density of states	9.20	states/eV/cell
energy of formation from the pure elements	1.05	eV/f.u.
energy	-3.12	eV/atom

Cell lengths 14.6339, 3.3595, 14.6368 Å; angles 90.00, 119.95, 90.00 degrees
Atoms (fractional coordinates):
In: 0.0000 0.0000 0.0000
In: 0.0267 0.5000 0.7975
In: 0.1063 0.0000 0.4092
In: 0.1827 0.5000 0.2373
In: 0.3090 0.5000 0.6386
In: 0.4056 0.0000 0.2647
In: 0.4680 0.5000 0.0798
In: 0.5563 0.0000 0.7006
In: 0.6971 0.0000 0.1063
In: 0.7518 0.5000 0.9237
In: 0.8415 0.0000 0.5500
In: 0.8691 0.5000 0.3547
Bi: 0.2677 0.0000 0.8383
Bi: 0.6012 0.5000 0.5053
Pb: 0.0728 0.5000 0.6041
Pb: 0.2284 0.5000 0.0335
Pb: 0.3610 0.0000 0.4622
Pb: 0.5023 0.5000 0.8780
Pb: 0.6442 0.0000 0.3082
Pb: 0.7983 0.0000 0.7453
Pb: 0.9345 0.5000 0.1719


(5)
The following is a DFT calculation (PBE-GGA) of a relaxed structure of SrInTc2.

SG	No. 71
M_tot	0.01	μB per cell
Fermi-level density of states	10.23	states/eV/cell
energy of formation from the pure elements	3.55	eV/f.u.
energy	-5.40	eV/atom

Cell lengths 3.2358, 5.1546, 9.8049 Å; angles 90.00, 90.00, 90.00 degrees
Atoms (fractional coordinates):
Sr: 0.0000 0.0000 0.0000
Sr: 0.5000 0.5000 0.5000
In: 0.0000 0.0000 0.5000
In: 0.5000 0.5000 0.0000
Tc: 0.0000 0.5000 0.2308
Tc: 0.0000 0.5000 0.7692
Tc: 0.5000 0.0000 0.2692
Tc: 0.5000 0.0000 0.7308


(6)
The following is a DFT calculation (PBE-GGA) of a relaxed structure of InOsBr2.

energy above the lowest structure with this stoichiometry	928	meV per atom
SG	No. 119
M_tot	0.00	μB per cell
Fermi-level density of states	6.16	states/eV/cell
energy	-3.22	eV/atom
formation energy without anion corrections	428	kJ/mol of formula units

Cell lengths 4.3859, 4.3859, 8.7601 Å; angles 90.00, 90.00, 90.00 degrees
Atoms (fractional coordinates):
In: 0.0000 0.0000 0.0000
In: 0.5000 0.5000 0.5000
Os: 0.0000 0.5000 0.7500
Os: 0.5000 0.0000 0.2500
Br: 0.0000 0.0000 0.5000
Br: 0.0000 0.5000 0.2500
Br: 0.5000 0.0000 0.7500
Br: 0.5000 0.5000 0.0000


- Among the records above, which one has the lowest energy?
  Pu3PaSe4